No. 1
First-principles (GGA-PBE) data for a relaxed structure of LaYPtAu, as listed in Alexandria via LeMat-Bulk.

**Spin magnetization**: 0.0 μB/cell
**E_tot**: -24.79 eV/cell
**Symmetry**: Amm2 (38)
**Energy of formation from the pure elements**: -1.019 eV/atom
**Crystal system**: orthorhombic

Structure (extended XYZ):
```
4
Lattice="3.8844 0.0000 0.0000 0.0000 4.7621 0.0000 -1.9422 0.0000 5.4091" Properties=species:S:1:pos:R:3 pbc="T T T"
Y 1.9422 2.3811 3.9465
La 0.0000 0.0000 1.5070
Pt 0.0000 0.0000 4.4441
Au 1.9422 2.3811 0.9207
```



No. 2
First-principles (GGA-PBE) data for a relaxed structure of Er4TeS, as listed in Alexandria via LeMat-Bulk.

**Raw formation energy**: -5.697 eV per formula unit
**Spin magnetization**: 0.0 μB/cell
**E_tot**: -62.44 eV/cell
**Symmetry**: C2/c (15)
**Crystal system**: monoclinic

Structure (extended XYZ):
```
12
Lattice="6.7581 -0.5954 0.0000 -1.7886 6.7205 0.0000 -2.4847 -3.0625 7.6168" Properties=species:S:1:pos:R:3 pbc="T T T"
S 5.0686 -0.4466 0.9006
S -2.5838 3.5091 6.7162
Er 3.0368 1.6844 4.5189
Er -0.5194 1.8582 6.5873
Er -0.5520 1.3781 3.0979
Er 3.9311 -1.6758 3.0979
Er 3.8984 -2.1559 6.5873
Er -1.4464 4.7383 4.5189
Er 3.0041 1.2044 1.0295
Er -1.4137 5.2184 1.0295
Te 1.6895 -0.1489 6.4618
Te 0.7952 3.2114 1.1550
```



No. 3
First-principles (GGA-PBE) data for a relaxed structure of Hf2ZnAu2, as listed in Alexandria via LeMat-Bulk.

**ΔE to the lowest computed polymorph**: 0.0 meV/atom
**Spin magnetization**: 0.0 μB/cell
**E_tot**: -59.00 eV/cell
**Symmetry**: P4/mbm (127)
**Energy of formation from the pure elements**: -0.353 eV/atom
**Crystal system**: tetragonal

Structure (extended XYZ):
```
10
Lattice="-3.6286 -4.3587 -4.6661 5.5357 -4.8222 0.1997 -1.5750 -1.6919 2.8051" Properties=species:S:1:pos:R:3 pbc="T T T"
Au 0.3688 -6.8319 -3.9135
Au -1.5584 -3.4111 -2.9323
Au 1.5383 -2.3489 -0.5530
Au 3.4655 -5.7698 -1.5342
Hf 1.3802 -7.7689 -1.5558
Hf 2.3037 -4.8136 0.7451
Hf -1.0480 -3.1039 -0.1055
Hf -1.9715 -6.0591 -2.4065
Zn 0.0000 0.0000 0.0000
Zn 0.9536 -4.5904 -2.2332
```



No. 4
First-principles (GGA-PBE) data for a relaxed structure of Hf5TaGe5, as listed in Alexandria via LeMat-Bulk.

**Spin magnetization**: 0.0 μB/cell
**E_tot**: -88.00 eV/cell
**Symmetry**: C2/m (12)
**Energy of formation from the pure elements**: -0.299 eV/atom
**Crystal system**: monoclinic

Structure (extended XYZ):
```
11
Lattice="5.3388 0.0000 0.0000 -2.6694 5.9510 -0.1074 0.0000 -2.3511 7.1860" Properties=species:S:1:pos:R:3 pbc="T T T"
Hf 2.6694 1.2724 2.3595
Hf 0.0000 3.6245 1.1843
Hf 2.6694 -0.0246 5.8943
Hf 0.0000 2.3275 4.7192
Hf 0.0000 -1.1756 3.5930
Ge 2.6694 3.5856 1.0751
Ge 0.0000 0.0143 6.0036
Ge 2.6694 0.0000 0.0000
Ge 0.0000 1.1883 2.3312
Ge 2.6694 2.4116 4.7474
Ta 0.0000 0.0000 0.0000
```



No. 5
First-principles (GGA-PBE) data for a relaxed structure of RbAsO3, as listed in Alexandria via LeMat-Bulk.

**Raw formation energy**: -5.177 eV per formula unit
**Spin magnetization**: 0.0 μB/cell
**E_tot**: -51.34 eV/cell
**Symmetry**: C2/m (12)
**Crystal system**: monoclinic

Structure (extended XYZ):
```
10
Lattice="-3.0067 -4.5177 18.2404 -4.5228 -0.8261 6.9030 2.3355 -1.4451 -7.8261" Properties=species:S:1:pos:R:3 pbc="T T T"
O -1.1711 -5.4287 10.2850
O -5.6734 -5.0145 19.9348
O -2.9560 -3.8988 10.7505
O 0.4793 -1.7743 -2.6175
O -4.0230 -1.3601 7.0324
O -2.2380 -2.8900 6.5669
As -5.7015 -4.3554 18.3798
As 0.5074 -2.4334 -1.0624
Rb -0.4169 -4.9793 7.3920
Rb -4.7772 -1.8095 9.9254
```



No. 6
First-principles (GGA-PBE) data for a relaxed structure of Nd2Be3Ge4Rh, as listed in Alexandria via LeMat-Bulk.

**Spin magnetization**: 0.0 μB/cell
**E_tot**: -51.33 eV/cell
**Symmetry**: P-4m2 (115)
**Energy of formation from the pure elements**: -0.480 eV/atom
**Crystal system**: tetragonal

Structure (extended XYZ):
```
10
Lattice="-2.6675 2.1643 -2.2483 -3.0887 -2.2539 1.4949 -1.0911 6.5107 7.5619" Properties=species:S:1:pos:R:3 pbc="T T T"
Ge -2.8781 -0.0448 -0.3767
Ge -1.9403 1.2354 3.4912
Ge -2.0289 5.2305 3.6940
Ge 0.0000 0.0000 0.0000
Be -1.6862 -0.2803 1.7308
Be -2.2830 6.7462 5.4544
Be -0.5455 3.2553 3.7810
Nd -1.6035 2.6919 0.7454
Nd -2.3657 3.7741 6.4398
Rh -3.4237 3.2106 3.4042
```



No. 7
First-principles (GGA-PBE) data for a relaxed structure of NdAl6Pd, as listed in Alexandria via LeMat-Bulk.

**Spin magnetization**: 0.0 μB/cell
**E_tot**: -34.00 eV/cell
**Symmetry**: R-3m (166)
**Energy of formation from the pure elements**: -0.197 eV/atom
**Crystal system**: trigonal

Structure (extended XYZ):
```
8
Lattice="-5.2073 -1.9596 -3.3770 0.7253 -2.3536 -6.0245 -1.0151 -5.6361 -1.4361" Properties=species:S:1:pos:R:3 pbc="T T T"
Al -5.0074 -7.2241 -6.9023
Al -2.6022 -7.3838 -7.9756
Al -2.8950 -2.5654 -2.8619
Al -0.4897 -2.7252 -3.9353
Al -4.7133 -8.1783 -9.3448
Al -0.7838 -1.7710 -1.4928
Pd 0.0000 0.0000 0.0000
Nd -2.7486 -4.9746 -5.4188
```



No. 8
First-principles (GGA-PBE) data for a relaxed structure of Li4In2Au3, as listed in Alexandria via LeMat-Bulk.

**Spin magnetization**: 0.0 μB/cell
**E_tot**: -26.87 eV/cell
**Symmetry**: C2/m (12)
**Energy of formation from the pure elements**: -0.434 eV/atom
**Crystal system**: monoclinic

Structure (extended XYZ):
```
9
Lattice="4.2679 -0.0003 0.0003 2.1323 4.6590 1.0844 -0.0028 1.6887 8.4005" Properties=species:S:1:pos:R:3 pbc="T T T"
Li 4.2640 1.2669 5.5255
Li 4.2644 4.6287 8.1223
Li 2.1330 1.7187 1.3629
Li 2.1333 5.0805 3.9597
In 2.1322 2.9539 6.9267
In 4.2652 3.3935 2.5585
Au 4.2669 4.1207 5.3811
Au 2.1305 2.2267 4.1040
Au 0.0000 0.0000 0.0000
```



No. 9
First-principles (GGA-PBE) data for a relaxed structure of CdCo2Ag, as listed in Alexandria via LeMat-Bulk.

**Spin magnetization**: 3.2 μB/cell
**E_tot**: -16.29 eV/cell
**Symmetry**: P4/mmm (123)
**Energy of formation from the pure elements**: 0.423 eV/atom
**Crystal system**: tetragonal

Structure (extended XYZ):
```
4
Lattice="4.0873 0.0000 0.0000 0.0000 3.8452 0.0000 0.0000 0.0000 3.8452" Properties=species:S:1:pos:R:3 pbc="T T T"
Ag 2.0436 1.9226 0.0000
Cd 2.0436 0.0000 1.9226
Co 0.0000 1.9226 1.9226
Co 0.0000 0.0000 0.0000
```



No. 10
First-principles (GGA-PBE) data for a relaxed structure of CdNi3N, as listed in Alexandria via LeMat-Bulk.

**Raw formation energy**: 0.597 eV per formula unit
**ΔE to the lowest computed polymorph**: 184.0 meV/atom
**Spin magnetization**: 0.0 μB/cell
**E_tot**: -103.95 eV/cell
**Symmetry**: C2/c (15)
**Crystal system**: monoclinic

Structure (extended XYZ):
```
20
Lattice="-4.8105 -4.3162 10.3159 -0.8513 -6.8400 2.7373 6.3188 -1.3827 -3.6282" Properties=species:S:1:pos:R:3 pbc="T T T"
Cd 0.1328 -4.8027 5.8281
Cd -3.5106 -7.4437 9.0204
Cd 4.1675 -5.0953 0.4047
Cd 0.5242 -7.7362 3.5969
Ni 2.5387 -6.9619 1.9737
Ni 0.5312 -7.4041 6.2899
Ni 2.3104 -6.0755 4.9467
Ni 0.1258 -5.1348 3.1352
Ni -1.6534 -6.4634 4.4784
Ni -1.8817 -5.5770 7.4514
Ni -2.3658 -7.8556 6.4937
Ni 0.0389 -2.6900 2.3724
Ni -0.8216 -7.8331 8.4095
Ni 3.0228 -4.6834 2.9314
Ni 1.4786 -4.7058 1.0156
Ni 0.6181 -9.8489 7.0527
N 1.4038 -3.9084 2.6348
N 3.9437 -1.7891 -1.3386
N -3.2867 -10.7498 10.7637
N -0.7469 -8.6305 6.7903
```



No. 11
First-principles (GGA-PBE) data for a relaxed structure of LaTm2Zn2Sn2, as listed in Alexandria via LeMat-Bulk.

**Spin magnetization**: 0.0 μB/cell
**E_tot**: -26.89 eV/cell
**Symmetry**: R-3m (166)
**Energy of formation from the pure elements**: -0.353 eV/atom
**Crystal system**: trigonal

Structure (extended XYZ):
```
7
Lattice="4.7559 0.0000 0.0000 2.3779 4.1187 0.0000 2.3779 1.3729 9.0926" Properties=species:S:1:pos:R:3 pbc="T T T"
Sn 2.3779 1.3729 1.9569
Sn 7.1338 4.1187 7.1357
Tm 2.3779 1.3729 5.4593
Tm 7.1338 4.1187 3.6332
Zn 4.7559 2.7458 2.6114
Zn 4.7559 2.7458 6.4812
La 0.0000 0.0000 0.0000
```



No. 12
First-principles (GGA-PBE) data for a relaxed structure of RbNbCr2, as listed in Alexandria via LeMat-Bulk.

**ΔE to the lowest computed polymorph**: 36.5 meV/atom
**Spin magnetization**: 10.9 μB/cell
**E_tot**: -47.48 eV/cell
**Symmetry**: I-42d (122)
**Energy of formation from the pure elements**: 1.636 eV/atom
**Crystal system**: tetragonal

Structure (extended XYZ):
```
8
Lattice="5.7450 0.0000 0.0000 0.0000 5.7450 0.0000 2.8725 2.8725 7.9141" Properties=species:S:1:pos:R:3 pbc="T T T"
Nb 0.0000 0.0000 0.0000
Nb 5.7450 2.8725 3.9571
Cr 5.7382 1.4362 1.9785
Cr 5.7518 4.3087 1.9785
Cr 4.3087 2.8793 5.9356
Cr 7.1812 2.8657 5.9356
Rb 2.8725 2.8725 0.0000
Rb 2.8725 5.7450 3.9571
```